# KLaMo4 | the Alexandria database | meta-GGA SCAN | single point on PBEsol structure
data_KLaMo4
_chemical_formula_sum 'K4 La4 Mo16'
_cell_length_a 7.825
_cell_length_b 7.825
_cell_length_c 7.825
_cell_angle_alpha 90.00
_cell_angle_beta 90.00
_cell_angle_gamma 90.00
_space_group_name_H-M_alt 'F -4 3 m'
_space_group_IT_number 216
_space_group_name_Hall 'F -4 2 3'
loop_
_atom_site_label
_atom_site_type_symbol
_atom_site_fract_x
_atom_site_fract_y
_atom_site_fract_z
_atom_site_occupancy
K1 K 0.000 0.000 0.000 1
La1 La 0.250 0.250 0.250 1
Mo1 Mo 0.125 0.125 0.625 1
# DFT total energy in eV/atom: -30.805
# ΔH_f (0 K) in eV per atom: 1.02
# DOS at the Fermi energy in states/eV per cell: 30.5